Material: Zr4CuAg
Method: DFT, PBE
State: optimized geometry

Output
- D(E_F) (states/eV per cell) = 3.66
- excess energy over the best structure of this formula in the dataset (eV per formula unit) = 0.000
- symmetry = P4/mmm

Structure (POSCAR):
```
Zr4CuAg
1.0
3.2435 0.0000 0.0000
0.0000 3.2435 0.0000
0.0000 0.0000 11.7450
Zr Cu Ag
4 1 1
Cartesian
0.0000 0.0000 1.7246
0.0000 0.0000 10.0204
1.6218 1.6218 3.8568
1.6218 1.6218 7.8882
1.6218 1.6218 0.0000
0.0000 0.0000 5.8725
```